Crystalline ZrIn2 at its relaxed geometry. Source: Alexandria via LeMat-Bulk, functional PBE.

Cell and atoms, written as extended XYZ:
```
6
Lattice="-6.008 0.415 -0.778 -4.839 -1.090 -3.502 -2.983 -6.601 2.366" Properties=species:S:1:pos:R:3 pbc="T T T"
In -9.249 -4.915 -1.253
In -4.668 -2.444 -0.653
In -13.735 -7.206 -1.912
In -7.490 -2.219 -1.988
Zr -12.056 -4.678 -2.588
Zr -5.815 -6.431 1.057
```

Properties
- density of states at the Fermi level (states/eV per cell) = 4.09
- theoretical density (Mg/m³) = 7.55
- energy (eV for the cell shown) = -29.11
- energy of formation (eV/atom) = -0.18